1.
Material: U3Si4Ir2
Method: DFT, PBE
State: optimized geometry

Results
Energy   -78.7 eV/f.u.

extended XYZ file:
```
9
Lattice="-2.983 3.689 3.129 -4.217 -0.181 3.805 7.622 -1.922 2.913" Properties=species:S:1:pos:R:3 pbc="T T T"
Ir -0.817 0.780 2.970
Ir 1.240 0.807 6.876
Si -5.678 2.928 6.392
Si 1.456 0.084 3.138
Si -1.034 1.502 6.708
Si 6.100 -1.342 3.454
U -3.183 1.826 4.637
U 3.811 -0.961 1.456
U 3.606 -0.239 5.209
```


2.
Material: TlGaMo4C2
Method: DFT, PBE
State: optimized geometry

Results
Energy   -66.9 eV/f.u.

extended XYZ file:
```
8
Lattice="-0.729 -2.965 0.672 2.291 0.624 -2.034 9.007 0.093 10.173" Properties=species:S:1:pos:R:3 pbc="T T T"
C 2.356 0.024 2.661
C 6.651 0.068 7.512
Ga 5.788 -0.526 3.955
Mo 2.907 -0.556 0.701
Mo 3.402 -1.737 3.299
Mo 6.160 -1.708 6.414
Mo 8.669 -0.496 7.209
Tl 0.278 -1.769 -0.230
```


3.
Material: BeGaFeW
Method: DFT, PBE
State: optimized geometry

Results
Energy relative to the lowest polymorph listed for this composition   0.000 eV/atom

extended XYZ file:
```
4
Lattice="0.000 2.902 2.902 2.902 0.000 2.902 2.902 2.902 0.000" Properties=species:S:1:pos:R:3 pbc="T T T"
Be 1.451 1.451 1.451
Fe 4.353 4.353 4.353
Ga 0.000 0.000 0.000
W 2.902 2.902 2.902
```


4.
Material: KScAgSe3
Method: DFT, PBE
State: optimized geometry

Results
Energy   -26.9 eV/f.u.

extended XYZ file:
```
12
Lattice="4.159 4.625 -4.886 -6.424 -1.461 4.377 4.536 4.562 8.179" Properties=species:S:1:pos:R:3 pbc="T T T"
Ag 0.400 2.952 1.441
Ag 1.871 4.774 6.229
K -2.711 1.163 4.165
K 4.983 6.564 3.505
Sc 0.000 0.000 0.000
Sc 2.268 2.281 4.089
Se 0.343 2.504 -1.092
Se 4.489 5.303 -2.138
Se 2.273 4.444 2.386
Se -0.001 3.282 5.284
Se -2.218 2.423 9.808
Se 1.928 5.223 8.763
```


5.
Material: CdO
Method: DFT, PBE
State: optimized geometry

Results
Energy   -7.9 eV/f.u.

extended XYZ file:
```
2
Lattice="1.054 -0.714 3.100 1.297 2.416 1.927 -1.711 1.127 2.653" Properties=species:S:1:pos:R:3 pbc="T T T"
Cd 0.000 0.000 0.000
O 0.320 1.414 3.840
```


6.
Material: YLuNi2As2
Method: DFT, PBE
State: optimized geometry

Results
Energy relative to the lowest polymorph listed for this composition   0.000 eV/atom

extended XYZ file:
```
12
Lattice="-3.969 0.720 0.163 1.444 -2.783 -2.543 -1.475 -10.553 10.710" Properties=species:S:1:pos:R:3 pbc="T T T"
As -0.541 -2.907 -0.330
As -0.917 -5.600 2.403
As -3.083 -7.016 5.927
As -3.459 -9.709 8.660
Lu -0.369 -2.638 2.677
Lu -1.106 -7.915 8.032
Ni -2.371 -1.922 0.758
Ni -2.696 -4.249 3.119
Ni -1.304 -8.366 5.210
Ni -1.629 -10.693 7.572
Y 0.000 0.000 0.000
Y -0.737 -5.276 5.355
```


7.
Material: KHfCuTe2S
Method: DFT, PBE
State: optimized geometry

Results
Energy   -30.6 eV/f.u.

extended XYZ file:
```
12
Lattice="2.006 -7.834 0.000 2.006 7.834 0.000 0.000 0.000 10.112" Properties=species:S:1:pos:R:3 pbc="T T T"
Cu 2.006 -0.454 2.528
Cu 2.006 0.454 7.584
Hf 0.000 0.000 0.000
Hf 0.000 0.000 5.056
K 2.006 3.668 2.528
K 2.006 -3.668 7.584
S 2.006 -7.075 2.528
S 2.006 7.075 7.584
Te 2.006 -2.043 0.466
Te 2.006 -2.043 4.590
Te 2.006 2.043 5.522
Te 2.006 2.043 9.645
```


8.
Material: YAgPbSeS2
Method: DFT, PBE
State: optimized geometry

Results
Energy   -30.7 eV/f.u.

extended XYZ file:
```
12
Lattice="2.020 -6.737 0.000 2.020 6.737 0.000 0.000 0.000 10.751" Properties=species:S:1:pos:R:3 pbc="T T T"
Ag 2.020 0.440 2.688
Ag 2.020 -0.440 8.064
Pb 2.020 -3.596 2.688
Pb 2.020 3.596 8.064
S 2.020 1.817 0.603
S 2.020 1.817 4.772
S 2.020 -1.817 5.979
S 2.020 -1.817 10.148
Se 2.020 5.425 2.688
Se 2.020 -5.425 8.064
Y 0.000 0.000 0.000
Y 0.000 0.000 5.376
```


Copy entry 4 word for word.
Material: KScAgSe3
Method: DFT, PBE
State: optimized geometry

Results
Energy   -26.9 eV/f.u.

extended XYZ file:
```
12
Lattice="4.159 4.625 -4.886 -6.424 -1.461 4.377 4.536 4.562 8.179" Properties=species:S:1:pos:R:3 pbc="T T T"
Ag 0.400 2.952 1.441
Ag 1.871 4.774 6.229
K -2.711 1.163 4.165
K 4.983 6.564 3.505
Sc 0.000 0.000 0.000
Sc 2.268 2.281 4.089
Se 0.343 2.504 -1.092
Se 4.489 5.303 -2.138
Se 2.273 4.444 2.386
Se -0.001 3.282 5.284
Se -2.218 2.423 9.808
Se 1.928 5.223 8.763
```


Number 6 is which compound? YLuNi2As2